Record 1
Computed, not measured: a geometry-optimized TbPmMnAu structure at the PBE level of DFT.

Output
- Calculated total energy: -5.675 eV per atom
- Formation enthalpy at 0 K: -0.218 eV per atom
- DOS(E_F): 1.155 states/eV per atom
- Total magnetic moment: 3.25 μB per formula unit

abc: 7.264 7.264 7.264
angles: 90.00 90.00 90.00
Space group F-43m (No. 216)
Symmetry-distinct sites (fractional):
1 Tb 0.000 0.000 0.000
2 Pm 0.000 0.000 0.500
3 Mn 0.250 0.250 0.250
4 Au 0.250 0.250 0.750



Record 2
Computed, not measured: a geometry-optimized Pr2MnAu structure at the PBE level of DFT.

Output
- Calculated total energy: -5.718 eV per atom
- Formation enthalpy at 0 K: -0.216 eV per atom
- DOS(E_F): 1.027 states/eV per atom
- Total magnetic moment: 3.24 μB per formula unit

abc: 3.724 3.724 7.458
angles: 90.00 90.00 90.00
Space group P4/mmm (No. 123)
Symmetry-distinct sites (fractional):
1 Pr 0.000 0.000 0.248
2 Mn 0.500 0.500 0.000
3 Au 0.500 0.500 0.500